Entry from the Alexandria database: a geometry-optimized YMgBi structure (PBE).

It has space group P-1 (No. 2), with a = 3.477 Å, b = 6.987 Å, c = 8.167 Å, α = 64.69°, β = 77.82° and γ = 89.81°. The inequivalent atoms are Y at (0.003, 0.259, 0.000), Mg at (0.336, 0.334, 0.331) and Bi at (0.351, 0.849, 0.302).

The density of states at the Fermi level is 3.98 states/eV per cell. As for the raw total energy: -25.87 eV per cell. Its polymorph energy (0 for the lowest one) is 5 meV per atom.

---

Entry from the Alexandria database: a geometry-optimized YMgBi2 structure (PBE).

It has space group P4/nmm (No. 129, origin choice 2), with a = 4.569 Å, b = 4.569 Å, c = 10.870 Å, α = 90.00°, β = 90.00° and γ = 90.00°. The inequivalent atoms are Y at (0.250, 0.250, 0.222), Mg at (0.250, 0.750, 0.500), Bi at (0.250, 0.250, 0.690) and Bi at (0.250, 0.750, 0.000).

The density of states at the Fermi level is 3.66 states/eV per cell. As for the raw total energy: -35.39 eV per cell.